The following is a PBE-GGA calculation of crystalline Li7Mg3Zn2 at its relaxed geometry, from the Alexandria database.

Output
**Energy of formation**: 0.003 eV/atom
**Theoretical density**: 1.72 g/cm³
**Energy above the most stable polymorph in this dataset**: 4.3 kJ per mole of atoms
**Volume**: 20.28 A^3/atom
**Raw total energy**: -41.39 eV/cell

Unit cell a=3.0727 b=33.2398 c=4.7647 alpha=90.00 beta=90.00 gamma=90.00
Closest atoms and distances in Å follow each position.
Space group Cmmm (No. 65)
One atom of each set of equivalent atoms:
Li: 0.0000 0.0000 0.0000 x2  6 Li 2.82-3.07, 4 Mg 2.83
Li: 0.0000 0.0787 0.5000 x4  6 Li 2.85-3.07, 4 Mg 2.98-3.03, 2 Zn 3.11
Li: 0.0000 0.2904 0.0000 x4  2 Zn 2.81, 2 Mg 2.98, 4 Li 3.07-3.09
Li: 0.0000 0.4288 0.0000 x4  2 Zn 2.72, 6 Li 2.82-2.85
Mg: 0.0000 0.3444 0.5000 x4  4 Zn 2.89, 4 Li 2.98, 2 Mg 3.07
Mg: 0.0000 0.5000 0.5000 x2  8 Li 2.83-3.03, 2 Mg 3.07
Zn: 0.0000 0.1387 0.0000 x4  4 Li 2.72-2.81, 4 Mg 2.89


The following is a PBE-GGA calculation of crystalline Li2Mg5Zn4 at its relaxed geometry, from the Alexandria database.

Output
**Energy of formation**: -0.019 eV/atom
**Theoretical density**: 3.03 g/cm³
**Volume**: 19.76 A^3/atom
**Raw total energy**: -34.21 eV/cell

Unit cell a=10.6874 b=5.8436 c=8.5644 alpha=90.00 beta=125.62 gamma=90.00
Closest atoms and distances in Å follow each position.
Space group C2/m (No. 12)
One atom of each set of equivalent atoms:
Li: 0.2272 0.0000 0.2907 x4  4 Zn 2.71-2.96, 2 Mg 3.00
Mg: 0.0000 0.5000 0.0000 x2  4 Zn 2.70-2.73
Mg: 0.0029 0.2529 0.6798 x8  5 Zn 2.77-3.06, 3 Mg 2.89-3.04, 2 Li 3.00-3.10
Zn: 0.2322 0.0000 0.6386 x4  5 Mg 2.73-3.05, 1 Zn 2.91, 3 Li 2.95-2.96
Zn: 0.2398 0.0000 0.9834 x4  5 Mg 2.70-2.95, 1 Li 2.71, 3 Zn 2.91-2.93


The following is a PBE-GGA calculation of crystalline Li2Mg5Zn at its relaxed geometry, from the Alexandria database.

Output
**Energy of formation**: -0.048 eV/atom
**Theoretical density**: 2.04 g/cm³
**Volume**: 20.39 A^3/atom
**Raw total energy**: -26.92 eV/cell

Unit cell a=6.7143 b=13.5742 c=3.5795 alpha=90.00 beta=90.00 gamma=90.00
Closest atoms and distances in Å follow each position.
Space group Pbam (No. 55)
One atom of each set of equivalent atoms:
Li: 0.2355 0.1172 0.0000 x4  2 Zn 2.87, 8 Mg 2.98-3.17
Mg: 0.0000 0.5000 0.5000 x2  4 Li 2.98, 6 Mg 3.02-3.31
Mg: 0.0069 0.2564 0.5000 x4  4 Li 3.02-3.08, 7 Mg 3.04-3.36
Mg: 0.2236 0.8841 0.0000 x4  2 Zn 2.82, 6 Mg 3.02-3.08, 1 Li 3.08
Zn: 0.0000 0.0000 0.5000 x2  4 Mg 2.82, 4 Li 2.87


The following is a PBE-GGA calculation of crystalline Li5MgZn4 at its relaxed geometry, from the Alexandria database.

Output
**Energy of formation**: -0.132 eV/atom
**Theoretical density**: 3.35 g/cm³
**Volume**: 15.89 A^3/atom
**Raw total energy**: -17.58 eV/cell

Unit cell a=3.2108 b=3.2108 c=15.4154 alpha=90.00 beta=90.00 gamma=90.00
Closest atoms and distances in Å follow each position.
Space group P4/mmm (No. 123)
One atom of each set of equivalent atoms:
Li: 0.0000 0.0000 0.0000 x1  8 Zn 2.72, 2 Li 2.93
Li: 0.0000 0.0000 0.1903 x2  8 Zn 2.69, 2 Li 2.88-2.93
Li: 0.0000 0.0000 0.3772 x2  4 Zn 2.69, 1 Li 2.88, 4 Mg 2.96
Mg: 0.5000 0.5000 0.5000 x1  8 Li 2.96, 4 Mg 3.21
Zn: 0.5000 0.5000 0.0966 x2  8 Li 2.69-2.72, 2 Zn 2.88-2.98
Zn: 0.5000 0.5000 0.2835 x2  8 Li 2.69, 1 Zn 2.88


The following is a PBE-GGA calculation of crystalline Li2Mg8Zn at its relaxed geometry, from the Alexandria database.

Output
**Energy of formation**: -0.045 eV/atom
**Theoretical density**: 2.00 g/cm³
**Energy above the most stable polymorph in this dataset**: 0.0 kJ per mole of atoms
**Volume**: 20.71 A^3/atom
**Raw total energy**: -36.70 eV/cell

Unit cell a=16.1380 b=4.7664 c=5.9323 alpha=90.00 beta=93.04 gamma=90.00
Closest atoms and distances in Å follow each position.
Space group C2/m (No. 12)
One atom of each set of equivalent atoms:
Li: 0.1426 0.0000 0.1724 x4  8 Mg 2.88-3.02
Mg: 0.0379 0.0000 0.7486 x4  2 Zn 2.89, 2 Li 2.95-2.98, 4 Mg 3.07-3.20
Mg: 0.0910 0.5000 0.4267 x4  1 Zn 2.86, 2 Li 2.96, 5 Mg 3.07-3.20
Mg: 0.1747 0.5000 0.9182 x4  3 Li 2.88-3.02, 1 Zn 2.89, 4 Mg 3.05-3.15
Mg: 0.2210 0.0000 0.6309 x4  1 Li 2.94, 7 Mg 3.02-3.08
Zn: 0.0000 0.5000 0.0000 x2  8 Mg 2.86-2.89


The following is a PBE-GGA calculation of crystalline Li6MgZn2 at its relaxed geometry, from the Alexandria database.

Output
**Energy of formation**: -0.075 eV/atom
**Theoretical density**: 2.12 g/cm³
**Energy above the most stable polymorph in this dataset**: 0.0 kJ per mole of atoms
**Volume**: 17.10 A^3/atom
**Raw total energy**: -32.60 eV/cell

Unit cell a=13.9250 b=8.0435 c=2.7484 alpha=90.00 beta=91.03 gamma=90.00
Closest atoms and distances in Å follow each position.
Space group C2/m (No. 12)
One atom of each set of equivalent atoms:
Li: 0.0000 0.1589 0.0000 x4  5 Li 2.56-2.75
Li: 0.1710 0.3292 0.0611 x8  5 Li 2.57-2.75
Mg: 0.0000 0.5000 0.5000 x2  2 Mg 2.75, 8 Li 3.02-3.07
Zn: 0.1659 0.0000 0.5023 x4  2 Zn 2.75, 10 Li 2.90-3.06


The following is a PBE-GGA calculation of crystalline LiMg3Zn2 at its relaxed geometry, from the Alexandria database.

Output
**Energy of formation**: -0.098 eV/atom
**Theoretical density**: 3.18 g/cm³
**Volume**: 18.34 A^3/atom
**Raw total energy**: -19.67 eV/cell

Unit cell a=4.5247 b=13.5446 c=3.5904 alpha=90.00 beta=90.00 gamma=90.00
Closest atoms and distances in Å follow each position.
Space group Cmmm (No. 65)
One atom of each set of equivalent atoms:
Li: 0.0000 0.0000 0.0000 x2  8 Mg 2.89-2.91, 4 Zn 3.17
Mg: 0.0000 0.1691 0.5000 x4  6 Zn 2.88-2.89, 2 Li 2.91, 4 Mg 3.15-3.22
Mg: 0.0000 0.5000 0.5000 x2  4 Zn 2.86, 4 Li 2.89
Zn: 0.0000 0.3356 0.0000 x4  8 Mg 2.86-2.89, 2 Li 3.17


The following is a PBE-GGA calculation of crystalline Li4Mg5Zr at its relaxed geometry, from the Alexandria database.

Output
**Energy of formation**: -0.026 eV/atom
**Theoretical density**: 1.95 g/cm³
**Volume**: 20.53 A^3/atom
**Raw total energy**: -24.44 eV/cell

Unit cell a=3.2905 b=3.2905 c=18.9592 alpha=90.00 beta=90.00 gamma=90.00
Closest atoms and distances in Å follow each position.
Space group P4/mmm (No. 123)
One atom of each set of equivalent atoms:
Li: 0.0000 0.0000 0.0965 x2  8 Mg 2.96-2.99, 4 Li 3.29
Li: 0.0000 0.0000 0.2933 x2  8 Mg 2.94-2.98, 4 Li 3.29
Mg: 0.5000 0.5000 0.0000 x1  8 Li 2.96, 4 Mg 3.29
Mg: 0.5000 0.5000 0.1951 x2  8 Li 2.98-2.99, 4 Mg 3.29
Mg: 0.5000 0.5000 0.3885 x2  4 Li 2.94, 4 Zr 3.14, 4 Mg 3.29
Zr: 0.0000 0.0000 0.5000 x1  8 Mg 3.14, 4 Zr 3.29